# 1
PBE Co3OsBr, relaxed; ΔE to the lowest computed polymorph = 0.136 eV per atom; formation energy without anion corrections = 1.637 eV per atom; D(E_F) = 2.03 states/eV/atom; density = 9545 kg/m³; space-group type = Pm-3m; total DFT energy (no corrections) = -26.04 eV for the cell shown
1.0
-2.5632 3.1166 -1.3906
-1.5055 0.5282 3.9587
3.0628 2.8679 0.7821
Co Os Br
3 1 1
Direct
0.0000 0.0000 0.5000 Co
0.0000 0.5000 0.0000 Co
0.5000 0.0000 0.0000 Co
0.5000 0.5000 0.5000 Os
0.0000 0.0000 0.0000 Br


# 2
PBE Cd2InRh, relaxed; D(E_F) = 0.86 states/eV/atom; energy of formation from the pure elements = 0.0605 eV/atom; density = 8960 kg/m³; space-group type = R-3m; total DFT energy (no corrections) = -11.68 eV for the cell shown
1.0
-6.6610 -6.7427 -1.4383
-4.0542 -8.5471 -1.5533
-5.3728 -7.8413 1.2445
Cd In Rh
2 1 1
Direct
0.2412 0.2412 0.2412 Cd
0.7588 0.7588 0.7588 Cd
0.0000 0.0000 0.0000 In
0.5000 0.5000 0.5000 Rh


# 3
PBE NaMn2VZn, relaxed; D(E_F) = 0.57 states/eV/atom; energy of formation from the pure elements = 1.0593 eV/atom; density = 3954 kg/m³; space-group type = P4/mmm; total DFT energy (no corrections) = -24.75 eV for the cell shown
1.0
4.4484 0.0000 0.0000
0.0000 5.2894 0.0000
0.0000 0.0000 4.4484
Mn Zn V Na
2 1 1 1
Direct
0.0000 0.0000 0.5000 Mn
0.5000 0.0000 0.0000 Mn
0.5000 0.5000 0.5000 Zn
0.0000 0.0000 0.0000 V
0.0000 0.5000 0.0000 Na


# 4
PBE Tm2USe4, relaxed; formation energy without anion corrections = -1.275 eV per atom; D(E_F) = 1.19 states/eV/atom; density = 6517 kg/m³; space-group type = P3m1; total DFT energy (no corrections) = -43.10 eV for the cell shown
1.0
-1.3963 3.7775 -1.0968
-2.3633 -2.4903 2.3739
6.2242 5.8951 12.3805
Se Tm U
4 2 1
Direct
0.3333 0.6667 0.2751 Se
0.3333 0.6667 0.7644 Se
0.0000 0.0000 0.0146 Se
0.0000 0.0000 0.4759 Se
0.6667 0.3333 0.3764 Tm
0.3333 0.6667 0.0935 Tm
0.0000 0.0000 0.6681 U